No. 1
Material: LuFeCoSn
Method: DFT, GGA-PBE
State: relaxed

abc: 4.4594 4.4594 4.4594
angles: 60.00 60.00 60.00
Closest atoms and distances in Å follow each position.
Atoms (fractional coordinates):
Fe1 0.2500 0.2500 0.2500  4 Lu 2.73, 4 Sn 2.73
Co1 0.7500 0.7500 0.7500  4 Sn 2.73, 4 Lu 2.73
Sn1 0.0000 0.0000 0.0000  4 Co 2.73, 4 Fe 2.73
Lu1 0.5000 0.5000 0.5000  4 Fe 2.73, 4 Co 2.73

Summary:
**SG**: F-43m
**E above lowest polymorph**: 0 meV/atom
**ρ**: 10.82 g/cm3
**Magnetization**: 0.0001 μB/atom

No. 2
Material: LaPrSiCl2
Method: DFT, GGA-PBE
State: relaxed

abc: 4.3125 4.3125 9.8744
angles: 90.00 90.00 120.00
Closest atoms and distances in Å follow each position.
Atoms (fractional coordinates):
Cl1 0.6667 0.3333 0.1689  3 La 2.94
Si1 0.3333 0.6667 0.5010  3 Pr 3.01, 3 La 3.02
La1 0.0000 0.0000 0.3270  3 Cl 2.94, 3 Si 3.02
Pr1 0.6667 0.3333 0.6730  3 Cl 2.93, 3 Si 3.01
Cl2 0.0000 0.0000 0.8301  3 Pr 2.93

Summary:
**SG**: P3m1
**Calculated total energy**: -26.79 eV/f.u.
**ρ**: 3.96 g/cm3
**Magnetization**: 0.0002 μB/atom

Which of these has the lowest magnetization?
LuFeCoSn

Look up the ρ of the second one.
3.96 g/cm3

What did the first record say?
Material: LuFeCoSn
Method: DFT, GGA-PBE
State: relaxed

abc: 4.4594 4.4594 4.4594
angles: 60.00 60.00 60.00
Closest atoms and distances in Å follow each position.
Atoms (fractional coordinates):
Fe1 0.2500 0.2500 0.2500  4 Lu 2.73, 4 Sn 2.73
Co1 0.7500 0.7500 0.7500  4 Sn 2.73, 4 Lu 2.73
Sn1 0.0000 0.0000 0.0000  4 Co 2.73, 4 Fe 2.73
Lu1 0.5000 0.5000 0.5000  4 Fe 2.73, 4 Co 2.73

Summary:
**SG**: F-43m
**E above lowest polymorph**: 0 meV/atom
**ρ**: 10.82 g/cm3
**Magnetization**: 0.0001 μB/atom

The lowest magnetization belongs to which entry?
LuFeCoSn